Entry 1:
Below is crystalline Na2SrInH at its relaxed geometry, with properties calculated at the PBE level.

The structure in POSCAR format:
```
Na2SrInH
1.0
5.0148 0.0000 0.0000
0.0000 5.0148 0.0000
0.0000 0.0000 5.1212
Na Sr In H
2 1 1 1
Direct
0.0000 0.5000 0.0000
0.5000 0.0000 0.0000
0.0000 0.0000 0.5000
0.5000 0.5000 0.5000
0.0000 0.0000 0.0000
```

Computed properties:
E above lowest polymorph   0.000 eV/atom
Volume   25.758 Å³ per atom
M_tot   0.00 μB per formula unit
Uncorrected energy   -2.2669 eV/atom

Entry 2:
Below is crystalline Na2InTcH6 at its relaxed geometry, with properties calculated at the PBE level.

The structure in POSCAR format:
```
Na2InTcH6
1.0
4.9187 0.0000 0.0000
-2.1995 5.5595 0.0000
-2.1099 -1.9192 5.2887
Na In Tc H
2 1 1 6
Direct
0.0000 0.0000 0.0000
0.1730 0.6801 0.4776
0.5519 0.3094 0.5848
0.9358 0.1249 0.5129
0.0230 0.3084 0.8107
0.2210 0.0608 0.7202
0.5450 0.9854 0.2779
0.7082 0.8627 0.5647
0.8987 0.8694 0.3015
0.9416 0.2564 0.2806
```

Computed properties:
Volume   14.462 Å³ per atom
M_tot   0.00 μB per formula unit
Uncorrected energy   -3.7030 eV/atom

Entry 3:
Below is crystalline Na2TlInH at its relaxed geometry, with properties calculated at the PBE level.

The structure in POSCAR format:
```
Na2TlInH
1.0
4.8672 0.0000 0.0000
0.0000 4.8672 0.0000
0.0000 0.0000 4.5779
Na Tl In H
2 1 1 1
Direct
0.0000 0.5000 0.0000
0.5000 0.0000 0.0000
0.0000 0.0000 0.5000
0.5000 0.5000 0.5000
0.5000 0.5000 0.0000
```

Computed properties:
E above lowest polymorph   0.000 eV/atom
Volume   21.690 Å³ per atom
M_tot   0.00 μB per formula unit
Uncorrected energy   -2.2343 eV/atom

Entry 4:
Below is crystalline Na2TlInH at its relaxed geometry, with properties calculated at the PBE level.

The structure in POSCAR format:
```
Na2TlInH
1.0
4.7313 0.0000 0.0000
0.0000 4.7313 0.0000
0.0000 0.0000 5.0563
Na Tl In H
2 1 1 1
Direct
0.0000 0.5000 0.0000
0.5000 0.0000 0.0000
0.0000 0.0000 0.5000
0.5000 0.5000 0.5000
0.0000 0.0000 0.0000
```

Computed properties:
E above lowest polymorph   0.006 eV/atom
Volume   22.637 Å³ per atom
M_tot   0.00 μB per formula unit
Uncorrected energy   -2.2285 eV/atom

Entry 5:
Below is crystalline Na2YInH at its relaxed geometry, with properties calculated at the PBE level.

The structure in POSCAR format:
```
Na2YInH
1.0
4.6767 0.0000 0.0000
0.0000 4.6767 0.0000
0.0000 0.0000 4.9750
Na Y In H
2 1 1 1
Direct
0.0000 0.5000 0.0000
0.5000 0.0000 0.0000
0.0000 0.0000 0.5000
0.5000 0.5000 0.5000
0.0000 0.0000 0.0000
```

Computed properties:
Volume   21.763 Å³ per atom
M_tot   0.00 μB per formula unit
Uncorrected energy   -3.2025 eV/atom

Entry 6:
Below is crystalline NaYIn2H at its relaxed geometry, with properties calculated at the PBE level.

The structure in POSCAR format:
```
NaYIn2H
1.0
5.2829 0.0000 0.0000
0.0000 5.2829 0.0000
0.0000 0.0000 5.7096
Na Y In H
1 1 2 1
Direct
0.0000 0.0000 0.0000
0.0000 0.0000 0.5000
0.0000 0.5000 0.0000
0.5000 0.0000 0.0000
0.5000 0.5000 0.5000
```

Computed properties:
Volume   31.870 Å³ per atom
M_tot   0.00 μB per formula unit
Uncorrected energy   -2.2808 eV/atom